# TbPr2Zn3Ir2Pt | OQMD | PBE | relaxed
data_TbPr2Zn3Ir2Pt
_cell_length_a 3.992
_cell_length_b 12.611
_cell_length_c 7.320
_cell_angle_alpha 90.00
_cell_angle_beta 90.00
_cell_angle_gamma 90.00
_symmetry_space_group_name_H-M 'A m m 2'
_symmetry_Int_Tables_number 38
loop_
_symmetry_equiv_pos_as_xyz
'x,y,z'
'-x,-y,z'
'-x,y,z'
'x,-y,z'
'x,y+1/2,z+1/2'
'-x,-y+1/2,z+1/2'
'-x,y+1/2,z+1/2'
'x,-y+1/2,z+1/2'
loop_
_atom_site_label
_atom_site_type_symbol
_atom_site_fract_x
_atom_site_fract_y
_atom_site_fract_z
Tb1 Tb 0.000 0.000 0.000
Pr1 Pr 0.000 0.206 0.386
Zn1 Zn 0.500 0.000 0.343
Zn2 Zn 0.500 0.121 0.719
Ir1 Ir 0.500 0.160 0.090
Pt1 Pt 0.000 0.000 0.597
# ΔE_f = -708 meV/atom
# total moment = 0.0 μB/cell
# density = 11.0 g cm⁻³

---

# Pr3Zn3IrPt2 | OQMD | PBE | relaxed
data_Pr3Zn3IrPt2
_cell_length_a 7.4063
_cell_length_b 7.4063
_cell_length_c 4.0479
_cell_angle_alpha 90.00
_cell_angle_beta 90.00
_cell_angle_gamma 120.00
_symmetry_space_group_name_H-M 'P -6 2 m'
_symmetry_Int_Tables_number 189
_symmetry_space_group_name_Hall 'P -6 -2'
loop_
_atom_site_label
_atom_site_type_symbol
_atom_site_fract_x
_atom_site_fract_y
_atom_site_fract_z
Pr1 Pr 0.0000 0.4043 0.0000
Zn1 Zn 0.0000 0.7640 0.5000
Ir1 Ir 0.0000 0.0000 0.0000
Pt1 Pt 0.3333 0.6667 0.5000
# ΔE_f = -776 meV/atom
# total moment = 0.0 μB/cell
# density = 10.4 g cm⁻³

---

# Pr2Sb4Ir3 | OQMD | PBE | relaxed
data_Pr2Sb4Ir3
_cell_length_a 16.292
_cell_length_b 4.589
_cell_length_c 11.093
_cell_angle_alpha 90.00
_cell_angle_beta 90.00
_cell_angle_gamma 90.00
_symmetry_space_group_name_H-M 'P n m a'
_symmetry_Int_Tables_number 62
loop_
_symmetry_equiv_pos_as_xyz
'x,y,z'
'-x,-y,-z'
'-x+1/2,-y,z+1/2'
'x+1/2,y,-z+1/2'
'x+1/2,-y+1/2,-z+1/2'
'-x+1/2,y+1/2,z+1/2'
'-x,y+1/2,-z'
'x,-y+1/2,z'
loop_
_atom_site_label
_atom_site_type_symbol
_atom_site_fract_x
_atom_site_fract_y
_atom_site_fract_z
Pr1 Pr 0.007 0.250 0.248
Pr2 Pr 0.248 0.750 0.590
Sb1 Sb 0.068 0.750 0.448
Sb2 Sb 0.106 0.750 0.062
Sb3 Sb 0.151 0.250 0.776
Sb4 Sb 0.211 0.250 0.387
Ir1 Ir 0.057 0.250 0.966
Ir2 Ir 0.093 0.250 0.557
Ir3 Ir 0.181 0.750 0.277
# raw total energy = -6.551 eV/atom
# total moment = 0.0 μB/cell
# density = 10.8 g cm⁻³

---

# Pr3Sc3Te2Ir | OQMD | PBE | relaxed
data_Pr3Sc3Te2Ir
_cell_length_a 8.1722
_cell_length_b 8.1722
_cell_length_c 4.0965
_cell_angle_alpha 90.00
_cell_angle_beta 90.00
_cell_angle_gamma 120.00
_symmetry_space_group_name_H-M 'P -6 2 m'
_symmetry_Int_Tables_number 189
_symmetry_space_group_name_Hall 'P -6 -2'
loop_
_atom_site_label
_atom_site_type_symbol
_atom_site_fract_x
_atom_site_fract_y
_atom_site_fract_z
Pr1 Pr 0.0000 0.3969 0.0000
Sc1 Sc 0.0000 0.7752 0.5000
Te1 Te 0.3333 0.6667 0.5000
Ir1 Ir 0.0000 0.0000 0.0000
# excess energy over the best structure of this formula in the dataset = 0 meV/atom
# total moment = 0.8 μB/cell
# density = 7.0 g cm⁻³

---

# Pr3Sc3Te2Ir | OQMD | PBE | relaxed
data_Pr3Sc3Te2Ir
_cell_length_a 8.4526
_cell_length_b 8.4526
_cell_length_c 3.8425
_cell_angle_alpha 90.00
_cell_angle_beta 90.00
_cell_angle_gamma 120.00
_symmetry_space_group_name_H-M 'P -6 2 m'
_symmetry_Int_Tables_number 189
_symmetry_space_group_name_Hall 'P -6 -2'
loop_
_atom_site_label
_atom_site_type_symbol
_atom_site_fract_x
_atom_site_fract_y
_atom_site_fract_z
Pr1 Pr 0.0000 0.7465 0.0000
Sc1 Sc 0.0000 0.3999 0.5000
Te1 Te 0.3333 0.6667 0.0000
Ir1 Ir 0.0000 0.0000 0.5000
# excess energy over the best structure of this formula in the dataset = 265 meV/atom
# total moment = 0.2 μB/cell
# density = 7.0 g cm⁻³

---

# PrSi4Ir3 | OQMD | PBE | relaxed
data_PrSi4Ir3
_cell_length_a 5.453
_cell_length_b 3.723
_cell_length_c 6.772
_cell_angle_alpha 90.00
_cell_angle_beta 103.61
_cell_angle_gamma 90.00
_symmetry_space_group_name_H-M 'P 1 m 1'
_symmetry_Int_Tables_number 6
loop_
_symmetry_equiv_pos_as_xyz
'x,y,z'
'x,-y,z'
loop_
_atom_site_label
_atom_site_type_symbol
_atom_site_fract_x
_atom_site_fract_y
_atom_site_fract_z
Pr1 Pr 0.000 0.000 0.000
Si1 Si 0.151 0.500 0.669
Si2 Si 0.502 0.000 0.695
Si3 Si 0.524 0.000 0.215
Si4 Si 0.875 0.500 0.304
Ir1 Ir 0.345 0.500 0.373
Ir2 Ir 0.500 0.500 0.977
Ir3 Ir 0.842 0.000 0.527
# raw total energy = -7.176 eV/atom
# total moment = 0.0 μB/cell
# density = 10.3 g cm⁻³

---

# Pr3Si4Ir | OQMD | PBE | relaxed
data_Pr3Si4Ir
_cell_length_a 5.913
_cell_length_b 3.940
_cell_length_c 7.652
_cell_angle_alpha 90.00
_cell_angle_beta 99.47
_cell_angle_gamma 90.00
_symmetry_space_group_name_H-M 'P 1 m 1'
_symmetry_Int_Tables_number 6
loop_
_symmetry_equiv_pos_as_xyz
'x,y,z'
'x,-y,z'
loop_
_atom_site_label
_atom_site_type_symbol
_atom_site_fract_x
_atom_site_fract_y
_atom_site_fract_z
Pr1 Pr 0.000 0.000 0.000
Pr2 Pr 0.172 0.000 0.466
Pr3 Pr 0.491 0.500 0.847
Si1 Si 0.315 0.500 0.202
Si2 Si 0.568 0.000 0.191
Si3 Si 0.694 0.000 0.609
Si4 Si 0.962 0.500 0.695
Ir1 Ir 0.674 0.500 0.412
# raw total energy = -6.247 eV/atom
# total moment = 0.0 μB/cell
# density = 6.9 g cm⁻³

---

# PrSmIr | OQMD | PBE | relaxed
data_PrSmIr
_cell_length_a 7.401
_cell_length_b 4.827
_cell_length_c 8.943
_cell_angle_alpha 90.00
_cell_angle_beta 90.00
_cell_angle_gamma 90.00
_symmetry_space_group_name_H-M 'P n m a'
_symmetry_Int_Tables_number 62
loop_
_symmetry_equiv_pos_as_xyz
'x,y,z'
'-x,-y,-z'
'-x+1/2,-y,z+1/2'
'x+1/2,y,-z+1/2'
'x+1/2,-y+1/2,-z+1/2'
'-x+1/2,y+1/2,z+1/2'
'-x,y+1/2,-z'
'x,-y+1/2,z'
loop_
_atom_site_label
_atom_site_type_symbol
_atom_site_fract_x
_atom_site_fract_y
_atom_site_fract_z
Pr1 Pr 0.003 0.250 0.165
Sm1 Sm 0.139 0.250 0.586
Ir1 Ir 0.249 0.250 0.919
# excess energy over the best structure of this formula in the dataset = 0 meV/atom
# ΔE_f = -591 meV/atom
# total moment = 0.0 μB/cell
# density = 10.1 g cm⁻³

---

# PrSmIr | OQMD | PBE | relaxed
data_PrSmIr
_cell_length_a 6.803
_cell_length_b 6.803
_cell_length_c 6.803
_cell_angle_alpha 90.00
_cell_angle_beta 90.00
_cell_angle_gamma 90.00
_symmetry_space_group_name_H-M 'F -4 3 m'
_symmetry_Int_Tables_number 216
_symmetry_space_group_name_Hall 'F -4 2 3'
loop_
_atom_site_label
_atom_site_type_symbol
_atom_site_fract_x
_atom_site_fract_y
_atom_site_fract_z
Pr1 Pr 0.000 0.000 0.000
Sm1 Sm 0.250 0.250 0.750
Ir1 Ir 0.000 0.000 0.500
# excess energy over the best structure of this formula in the dataset = 761 meV/atom
# ΔE_f = 170 meV/atom
# total moment = 0.0 μB/cell
# density = 10.2 g cm⁻³

---

# PrSmIr | OQMD | PBE | relaxed
data_PrSmIr
_cell_length_a 7.350
_cell_length_b 4.827
_cell_length_c 9.091
_cell_angle_alpha 90.00
_cell_angle_beta 90.00
_cell_angle_gamma 90.00
_symmetry_space_group_name_H-M 'P n m a'
_symmetry_Int_Tables_number 62
loop_
_symmetry_equiv_pos_as_xyz
'x,y,z'
'-x,-y,-z'
'-x+1/2,-y,z+1/2'
'x+1/2,y,-z+1/2'
'x+1/2,-y+1/2,-z+1/2'
'-x+1/2,y+1/2,z+1/2'
'-x,y+1/2,-z'
'x,-y+1/2,z'
loop_
_atom_site_label
_atom_site_type_symbol
_atom_site_fract_x
_atom_site_fract_y
_atom_site_fract_z
Pr1 Pr 0.141 0.250 0.091
Sm1 Sm 0.001 0.250 0.659
Ir1 Ir 0.237 0.250 0.418
# excess energy over the best structure of this formula in the dataset = 22 meV/atom
# ΔE_f = -569 meV/atom
# total moment = 0.0 μB/cell
# density = 10.0 g cm⁻³

---

# Pr3SmIr8 | OQMD | PBE | relaxed
data_Pr3SmIr8
_cell_length_a 5.4370
_cell_length_b 5.4370
_cell_length_c 26.6212
_cell_angle_alpha 90.00
_cell_angle_beta 90.00
_cell_angle_gamma 120.00
_symmetry_space_group_name_H-M 'R 3 m'
_symmetry_Int_Tables_number 160
_symmetry_space_group_name_Hall 'R 3 -2"'
loop_
_atom_site_label
_atom_site_type_symbol
_atom_site_fract_x
_atom_site_fract_y
_atom_site_fract_z
Pr1 Pr 0.0000 0.0000 0.0000
Pr2 Pr 0.0000 0.0000 0.1251
Pr3 Pr 0.0000 0.0000 0.6246
Sm1 Sm 0.0000 0.0000 0.4998
Ir1 Ir 0.0000 0.0000 0.3124
Ir2 Ir 0.0000 0.0000 0.8125
Ir3 Ir 0.9997 0.4998 0.5619
Ir4 Ir 0.0006 0.5003 0.0629
# ΔE_f = -688 meV/atom
# total moment = 0.0 μB/cell
# density = 15.4 g cm⁻³